#P
A relaxed ScCdTe crystal, computed with GGA-PBE.

a b c (Å): 6.3041 6.3041 6.3041
angles (deg): 146.09 146.09 48.71
Atoms (fractional coordinates):
1 Sc 0.0000 0.0000 0.0000
2 Cd 0.3287 0.3287 0.0000
3 Te 0.6225 0.6225 0.0000

Total magnetic moment, μB/atom: 0.001
V, Å³/cell: 78

#Q
A relaxed ScCdTe crystal, computed with GGA-PBE.

a b c (Å): 5.0153 5.0153 5.0153
angles (deg): 60.00 60.00 60.00
Atoms (fractional coordinates):
1 Sc 0.0000 0.0000 0.0000
2 Cd 0.5000 0.5000 0.5000
3 Te 0.2500 0.2500 0.2500

Total magnetic moment, μB/atom: 0.001
V, Å³/cell: 89

Stability check: which of them is least stable? #Q.

#P
A relaxed ScCdTe crystal, computed with GGA-PBE.

a b c (Å): 4.9426 4.9426 4.9426
angles (deg): 60.00 60.00 60.00
Atoms (fractional coordinates):
1 Sc 0.0000 0.0000 0.0000
2 Cd 0.7500 0.7500 0.7500
3 Te 0.2500 0.2500 0.2500

Total magnetic moment, μB/atom: 0.249
V, Å³/cell: 85

#Q
A relaxed ScCdTe crystal, computed with GGA-PBE.

a b c (Å): 10.0691 10.0691 10.0691
angles (deg): 26.66 26.66 26.66
Atoms (fractional coordinates):
1 Sc 0.0617 0.0617 0.0617
2 Sc 0.9383 0.9383 0.9383
3 Cd 0.3290 0.3290 0.3290
4 Cd 0.6710 0.6710 0.6710
5 Te 0.2268 0.2268 0.2268
6 Te 0.7732 0.7732 0.7732

Total magnetic moment, μB/atom: 0.000
V, Å³/cell: 181

#R
A relaxed ScCdTe crystal, computed with GGA-PBE.

a b c (Å): 3.9487 3.9487 6.3546
angles (deg): 90.00 90.00 120.00
Atoms (fractional coordinates):
1 Sc 0.0000 0.0000 0.0000
2 Cd 0.3333 0.6667 0.6657
3 Te 0.6667 0.3333 0.2675

Total magnetic moment, μB/atom: 0.000
V, Å³/cell: 86

Stability check: which of them is least stable? #P.

#P
A relaxed Sc2CdTe2 crystal, computed with GGA-PBE.

a b c (Å): 8.0319 8.0319 3.8393
angles (deg): 90.00 90.00 90.00
Atoms (fractional coordinates):
1 Sc 0.1435 0.3565 0.0000
2 Sc 0.3565 0.8565 0.0000
3 Sc 0.6435 0.1435 0.0000
4 Sc 0.8565 0.6435 0.0000
5 Cd 0.0000 0.0000 0.0000
6 Cd 0.5000 0.5000 0.0000
7 Te 0.1532 0.6532 0.5000
8 Te 0.3468 0.1532 0.5000
9 Te 0.6532 0.8468 0.5000
10 Te 0.8468 0.3468 0.5000

Total magnetic moment, μB/atom: 0.076
V, Å³/cell: 248

#Q
A relaxed Sc2CdTe2 crystal, computed with GGA-PBE.

a b c (Å): 7.2859 7.2859 7.2859
angles (deg): 140.20 140.20 57.54
Atoms (fractional coordinates):
1 Sc 0.2500 0.7500 0.5000
2 Sc 0.7500 0.2500 0.5000
3 Cd 0.0000 0.0000 0.0000
4 Te 0.3602 0.3602 0.0000
5 Te 0.6398 0.6398 0.0000

Total magnetic moment, μB/atom: 0.000
V, Å³/cell: 157

Stability check: which of them is least stable? #Q.

#P
A relaxed ScCd2Te2 crystal, computed with GGA-PBE.

a b c (Å): 5.9441 5.9441 5.9441
angles (deg): 122.35 122.35 85.98
Atoms (fractional coordinates):
1 Sc 0.0000 0.0000 0.0000
2 Cd 0.3468 0.3468 0.0000
3 Cd 0.6532 0.6532 0.0000
4 Te 0.2500 0.7500 0.5000
5 Te 0.7500 0.2500 0.5000

Total magnetic moment, μB/atom: 0.140
V, Å³/cell: 143

#Q
A relaxed ScCd2Te2 crystal, computed with GGA-PBE.

a b c (Å): 7.9983 7.9983 4.0766
angles (deg): 90.00 90.00 90.00
Atoms (fractional coordinates):
1 Sc 0.0000 0.0000 0.0000
2 Sc 0.5000 0.5000 0.0000
3 Cd 0.1274 0.3726 0.0000
4 Cd 0.3726 0.8726 0.0000
5 Cd 0.6274 0.1274 0.0000
6 Cd 0.8726 0.6274 0.0000
7 Te 0.1807 0.6807 0.5000
8 Te 0.3193 0.1807 0.5000
9 Te 0.6807 0.8193 0.5000
10 Te 0.8193 0.3193 0.5000

Total magnetic moment, μB/atom: 0.000
V, Å³/cell: 261

#R
A relaxed ScCd2Te2 crystal, computed with GGA-PBE.

a b c (Å): 7.8155 7.8155 4.4778
angles (deg): 90.00 90.00 90.00
Atoms (fractional coordinates):
1 Sc 0.0000 0.0000 0.0000
2 Sc 0.5000 0.5000 0.0000
3 Cd 0.1416 0.3584 0.5000
4 Cd 0.3584 0.8584 0.5000
5 Cd 0.6416 0.1416 0.5000
6 Cd 0.8584 0.6416 0.5000
7 Te 0.1754 0.6754 0.0000
8 Te 0.3246 0.1754 0.0000
9 Te 0.6754 0.8246 0.0000
10 Te 0.8246 0.3246 0.0000

Total magnetic moment, μB/atom: 0.000
V, Å³/cell: 274

Stability check: which of them is least stable? #P.